1.
ZrAu2: optimized geometry, PBEsol.

a b c (Å): 3.539 3.539 5.030
angles (deg): 110.60 110.60 90.00
Sites, in units of the cell vectors:
Au 0.669 0.669 0.337
Au 0.331 0.331 0.663
Zr 0.000 0.000 0.000

Output
* crystal system: tetragonal
* volume: 55 Å³/f.u.
* space-group type: No. 139
* spin magnetization: 0.00 μB per atom
* DFT formation energy: -14.7 kcal/mol of atoms

2.
ZrAu: optimized geometry, PBEsol.

a b c (Å): 3.251 3.251 4.361
angles (deg): 90.00 90.00 120.00
Sites, in units of the cell vectors:
Zr 0.667 0.333 0.500
Au 0.000 0.000 0.000

Output
* crystal system: hexagonal
* volume: 40 Å³/f.u.
* space-group type: No. 187
* spin magnetization: 0.00 μB per atom
* DFT formation energy: -6.8 kcal/mol of atoms